1.
Compound: AcHgAu5
Source: Alexandria
Functional: GGA-PBE
Structure: optimized geometry Values from VASP.

Properties
SG: Pnma, No. 62
Total DFT energy (no corrections), eV for the cell shown: -95.17
Theoretical density, g/cm3: 15.130

The structure in Quantum ESPRESSO input format:
```
&SYSTEM
  ibrav = 0, nat = 28, ntyp = 3
/
ATOMIC_SPECIES
Au 196.97 Au.upf
Hg 200.59 Hg.upf
Ac 227.00 Ac.upf
CELL_PARAMETERS angstrom
5.857 0.000 0.000
0.000 9.173 0.000
0.000 0.000 11.542
ATOMIC_POSITIONS angstrom
Au 0.055 0.615 7.983
Au 4.393 2.934 8.496
Au 4.393 3.712 11.311
Au 4.393 0.665 10.487
Hg 1.464 3.317 7.438
Hg 1.464 7.904 9.875
Hg 4.393 1.269 1.667
Au 2.873 5.202 9.330
Ac 4.393 2.370 5.079
Au 4.393 5.251 6.826
Au 2.984 8.558 3.559
Au 4.393 7.520 8.816
Ac 1.464 6.802 6.463
Ac 1.464 2.216 10.850
Au 2.873 0.615 7.983
Au 1.464 3.922 4.716
Au 4.393 8.299 6.002
Au 2.984 3.971 2.212
Au 0.055 5.202 9.330
Au 1.464 1.653 2.725
Au 1.464 5.460 0.231
Hg 4.393 5.855 4.104
Au 1.464 0.874 5.540
Au 5.801 3.971 2.212
Au 1.464 8.508 1.055
Au 5.801 8.558 3.559
Au 1.464 6.239 3.045
Ac 4.393 6.957 0.692
```

2.
Compound: RbCdGa2Tc
Source: Alexandria
Functional: GGA-PBE
Structure: optimized geometry Values from VASP.

Properties
SG: P4/mmm, No. 123
Total DFT energy (no corrections), eV for the cell shown: -18.02
Theoretical density, g/cm3: 5.492

The structure in Quantum ESPRESSO input format:
```
&SYSTEM
  ibrav = 0, nat = 5, ntyp = 4
/
ATOMIC_SPECIES
Tc 98.00 Tc.upf
Ga 69.72 Ga.upf
Cd 112.41 Cd.upf
Rb 85.47 Rb.upf
CELL_PARAMETERS angstrom
-4.487 -1.129 1.707
0.869 -4.775 -0.872
2.033 -0.541 4.987
ATOMIC_POSITIONS angstrom
Tc 0.000 0.000 0.000
Ga 0.435 -2.388 -0.436
Cd 1.017 -0.271 2.494
Ga -2.243 -0.564 0.853
Rb -0.792 -3.222 2.911
```

3.
Compound: HoLuO
Source: Alexandria
Functional: GGA-PBE
Structure: optimized geometry Values from VASP.

Properties
SG: P3m1, No. 156
Uncorrected formation energy, meV/atom: -1815
Theoretical density, g/cm3: 10.137

The structure in Quantum ESPRESSO input format:
```
&SYSTEM
  ibrav = 0, nat = 3, ntyp = 3
/
ATOMIC_SPECIES
O 16.00 O.upf
Lu 174.97 Lu.upf
Ho 164.93 Ho.upf
CELL_PARAMETERS angstrom
3.457 0.000 0.000
-1.729 2.994 0.000
0.000 0.000 5.633
ATOMIC_POSITIONS angstrom
O 0.000 1.996 3.808
Lu 0.000 0.000 5.078
Ho 1.729 0.998 2.380
```

4.
Compound: CaPm4Pr2Y
Source: Alexandria
Functional: GGA-PBE
Structure: optimized geometry Values from VASP.

Properties
SG: C2/c, No. 15
Total DFT energy (no corrections), eV for the cell shown: -68.06
Theoretical density, g/cm3: 5.733

The structure in Quantum ESPRESSO input format:
```
&SYSTEM
  ibrav = 0, nat = 16, ntyp = 4
/
ATOMIC_SPECIES
Pm 145.00 Pm.upf
Ca 40.08 Ca.upf
Pr 140.91 Pr.upf
Y 88.91 Y.upf
CELL_PARAMETERS angstrom
9.584 0.029 -1.841
0.022 9.584 -1.841
-6.126 -6.130 8.597
ATOMIC_POSITIONS angstrom
Pm 7.092 2.331 -1.720
Pm 2.564 2.580 -0.890
Ca 3.458 -6.101 6.756
Pr 4.792 0.014 -0.921
Pr -3.063 -3.065 4.299
Ca 1.740 1.741 2.458
Pr 1.729 -3.051 3.378
Pm 0.916 0.902 5.805
Pr 4.803 4.806 -1.841
Pm 4.318 4.307 1.568
Pm 4.044 -0.748 2.578
Pm -3.612 1.152 6.636
Pm -0.564 4.231 2.337
Y 0.011 4.792 -0.921
Y 6.532 1.756 1.537
Pm -0.838 -0.824 3.348
```

5.
Compound: CaPt2Br
Source: Alexandria
Functional: GGA-PBE
Structure: optimized geometry Values from VASP.

Properties
SG: P4/mmm, No. 123
Uncorrected formation energy, meV/atom: -7
Energy relative to the lowest polymorph listed for this composition, kJ/mol of formula units: 277
Theoretical density, g/cm3: 10.653

The structure in Quantum ESPRESSO input format:
```
&SYSTEM
  ibrav = 0, nat = 4, ntyp = 3
/
ATOMIC_SPECIES
Ca 40.08 Ca.upf
Pt 195.08 Pt.upf
Br 79.90 Br.upf
CELL_PARAMETERS angstrom
-1.446 2.604 0.507
-1.322 -0.208 -2.709
-6.632 -4.377 3.572
ATOMIC_POSITIONS angstrom
Ca -6.358 -2.085 1.578
Pt -6.587 -4.347 3.548
Br -3.042 0.104 -0.208
Pt -3.361 -2.218 1.810
```

6.
Compound: NaCaPm2S4
Source: Alexandria
Functional: GGA-PBE
Structure: optimized geometry Values from VASP.

Properties
SG: P2/m, No. 10
Uncorrected formation energy, meV/atom: -1937
Theoretical density, g/cm3: 4.255

The structure in Quantum ESPRESSO input format:
```
&SYSTEM
  ibrav = 0, nat = 8, ntyp = 4
/
ATOMIC_SPECIES
S 32.06 S.upf
Na 22.99 Na.upf
Ca 40.08 Ca.upf
Pm 145.00 Pm.upf
CELL_PARAMETERS angstrom
-1.782 -0.845 -3.526
6.240 -1.383 -2.823
-2.659 -5.914 2.761
ATOMIC_POSITIONS angstrom
S -0.423 -4.777 1.359
S 0.020 -2.292 -1.775
Na 0.000 0.000 0.000
Ca 2.229 -1.114 -3.174
S 1.779 -5.850 -1.812
Pm 1.790 -3.648 -0.031
Pm -2.221 -3.379 -0.382
S 4.003 -2.519 -1.420
```

7.
Compound: Rb2MnCl6
Source: Alexandria
Functional: GGA-PBE
Structure: optimized geometry Values from VASP.

Properties
SG: Fm-3m, No. 225
Uncorrected formation energy, meV/atom: -1426
Theoretical density, g/cm3: 2.807

The structure in Quantum ESPRESSO input format:
```
&SYSTEM
  ibrav = 0, nat = 9, ntyp = 3
/
ATOMIC_SPECIES
Mn 54.94 Mn.upf
Cl 35.45 Cl.upf
Rb 85.47 Rb.upf
CELL_PARAMETERS angstrom
7.160 -0.006 -0.009
-3.575 6.203 0.008
-3.575 -2.070 5.847
ATOMIC_POSITIONS angstrom
Mn 7.160 -0.006 -0.009
Cl 1.624 0.934 1.323
Rb 0.005 -0.006 4.384
Cl -1.620 0.937 1.327
Cl 3.585 4.323 1.322
Cl -1.614 3.193 4.524
Rb 0.005 4.132 1.463
Cl -3.575 -0.196 4.525
Cl 1.630 3.190 4.520
```

8.
Compound: TaRu
Source: Alexandria
Functional: GGA-PBE
Structure: optimized geometry Values from VASP.

Properties
SG: P4/m, No. 83
Total DFT energy (no corrections), eV for the cell shown: -165.47
Theoretical density, g/cm3: 13.271

The structure in Quantum ESPRESSO input format:
```
&SYSTEM
  ibrav = 0, nat = 16, ntyp = 2
/
ATOMIC_SPECIES
Ru 101.07 Ru.upf
Ta 180.95 Ta.upf
CELL_PARAMETERS angstrom
7.770 0.000 0.000
0.000 7.770 0.000
0.000 0.000 4.676
ATOMIC_POSITIONS angstrom
Ru 3.446 1.800 0.000
Ta 5.989 0.919 0.000
Ta 0.562 5.278 2.338
Ru 4.324 5.970 0.000
Ta 5.278 7.208 2.338
Ta 1.781 6.851 0.000
Ta 0.919 1.781 0.000
Ta 7.208 2.491 2.338
Ru 1.964 3.042 2.338
Ru 5.970 3.446 0.000
Ru 1.800 4.324 0.000
Ta 6.851 5.989 0.000
Ru 5.806 4.727 2.338
Ru 3.042 5.806 2.338
Ru 4.727 1.964 2.338
Ta 2.491 0.562 2.338
```

9.
Compound: Sm5Dy4Ho4
Source: Alexandria
Functional: GGA-PBE
Structure: optimized geometry Values from VASP.

Properties
SG: I4/m, No. 87
Total DFT energy (no corrections), eV for the cell shown: -60.10
Theoretical density, g/cm3: 8.196

The structure in Quantum ESPRESSO input format:
```
&SYSTEM
  ibrav = 0, nat = 13, ntyp = 3
/
ATOMIC_SPECIES
Dy 162.50 Dy.upf
Sm 150.36 Sm.upf
Ho 164.93 Ho.upf
CELL_PARAMETERS angstrom
-0.171 3.007 4.034
-9.188 1.362 1.738
-0.138 -5.800 7.459
ATOMIC_POSITIONS angstrom
Dy -6.490 -1.025 6.773
Sm -1.508 -0.215 3.238
Dy -4.492 -0.603 9.683
Sm -7.989 -1.216 9.993
Dy -5.005 -0.829 3.548
Ho -8.673 1.555 7.898
Sm -7.167 1.767 4.663
Ho -3.695 2.386 4.348
Ho -5.802 -3.817 8.883
Sm 0.000 0.000 0.000
Dy -3.007 -0.406 6.458
Sm -2.330 -3.198 8.568
Ho -0.824 -2.987 5.333
```

10.
Compound: SrLaCr4
Source: Alexandria
Functional: GGA-PBE
Structure: optimized geometry Values from VASP.

Properties
SG: F-43m, No. 216
Total DFT energy (no corrections), eV for the cell shown: -39.81
Theoretical density, g/cm3: 4.922

The structure in Quantum ESPRESSO input format:
```
&SYSTEM
  ibrav = 0, nat = 6, ntyp = 3
/
ATOMIC_SPECIES
La 138.91 La.upf
Cr 52.00 Cr.upf
Sr 87.62 Sr.upf
CELL_PARAMETERS angstrom
0.000 4.185 4.185
4.185 0.000 4.185
4.185 4.185 0.000
ATOMIC_POSITIONS angstrom
La 6.277 6.277 6.277
Cr 5.225 3.144 5.225
Cr 5.225 5.225 3.144
Sr 0.000 0.000 0.000
Cr 3.144 3.144 3.144
Cr 3.144 5.225 5.225
```

11.
Compound: TaCr2Hg
Source: Alexandria
Functional: GGA-PBE
Structure: optimized geometry Values from VASP.

Properties
SG: C2/m, No. 12
Total DFT energy (no corrections), eV for the cell shown: -28.93
Theoretical density, g/cm3: 12.860

The structure in Quantum ESPRESSO input format:
```
&SYSTEM
  ibrav = 0, nat = 4, ntyp = 3
/
ATOMIC_SPECIES
Cr 52.00 Cr.upf
Hg 200.59 Hg.upf
Ta 180.95 Ta.upf
CELL_PARAMETERS angstrom
5.301 0.003 0.011
-2.448 4.598 -0.003
0.405 0.785 2.573
ATOMIC_POSITIONS angstrom
Cr 0.000 0.000 0.000
Cr 2.853 0.394 1.292
Hg -1.021 2.692 1.285
Ta 1.427 2.300 0.004
```

12.
Compound: Ca3Cd2Au
Source: Alexandria
Functional: GGA-PBE
Structure: optimized geometry Values from VASP.

Properties
SG: P4/mmm, No. 123
Energy relative to the lowest polymorph listed for this composition, kJ/mol of formula units: 0
Theoretical density, g/cm3: 5.611

The structure in Quantum ESPRESSO input format:
```
&SYSTEM
  ibrav = 0, nat = 6, ntyp = 3
/
ATOMIC_SPECIES
Au 196.97 Au.upf
Ca 40.08 Ca.upf
Cd 112.41 Cd.upf
CELL_PARAMETERS angstrom
3.730 0.000 0.000
0.000 3.730 0.000
0.000 0.000 11.528
ATOMIC_POSITIONS angstrom
Au 1.865 1.865 5.764
Ca 0.000 0.000 7.523
Ca 0.000 0.000 4.005
Cd 1.865 1.865 1.975
Cd 1.865 1.865 9.553
Ca 0.000 0.000 0.000
```

- theoretical density of number 1 (AcHgAu5)?
  15.130 g/cm3

- Which formula does entry 11 have?
  TaCr2Hg

- Which value of theoretical density does entry 11 give?
  12.860 g/cm3

- Among the records above, which one has the highest theoretical density?
  AcHgAu5